The following is a DFT calculation (PBE) of crystalline LaAs3Ru5 at its relaxed geometry.

Electronic total energy = -136.8 eV per cell
SG = Cmcm (63)
Energy of formation from the pure elements = -0.348 eV/atom

Cell lengths 6.681, 6.681, 12.266 Å; angles 90.00, 90.00, 144.97 degrees
Fractional positions:
La 0.168 0.832 0.750
La 0.832 0.168 0.250
As 0.124 0.876 0.250
As 0.384 0.616 0.047
As 0.384 0.616 0.453
As 0.616 0.384 0.547
As 0.616 0.384 0.953
As 0.876 0.124 0.750
Ru 0.000 0.000 0.000
Ru 0.000 0.000 0.500
Ru 0.200 0.800 0.070
Ru 0.200 0.800 0.430
Ru 0.445 0.555 0.647
Ru 0.445 0.555 0.853
Ru 0.555 0.445 0.147
Ru 0.555 0.445 0.353
Ru 0.800 0.200 0.570
Ru 0.800 0.200 0.930

The following is a DFT calculation (PBE) of crystalline La2AsRu2 at its relaxed geometry.

Electronic total energy = -64.3 eV per cell
SG = P4/mbm (127)
Excess energy over the best structure of this formula in the dataset = 581.5 meV per atom
Energy of formation from the pure elements = 0.179 eV/atom

Cell lengths 8.188, 8.188, 3.397 Å; angles 90.00, 90.00, 90.00 degrees
Fractional positions:
La 0.172 0.328 0.000
La 0.328 0.828 0.000
La 0.672 0.172 0.000
La 0.828 0.672 0.000
As 0.000 0.000 0.000
As 0.500 0.500 0.000
Ru 0.122 0.622 0.500
Ru 0.378 0.122 0.500
Ru 0.622 0.878 0.500
Ru 0.878 0.378 0.500

The following is a DFT calculation (PBE) of crystalline LaAsRu4 at its relaxed geometry.

Electronic total energy = -45.3 eV per cell
SG = F-43m (216)
Energy of formation from the pure elements = 0.227 eV/atom

Cell lengths 5.319, 5.319, 5.319 Å; angles 60.00, 60.00, 60.00 degrees
Fractional positions:
La 0.000 0.000 0.000
As 0.250 0.250 0.250
Ru 0.129 0.624 0.624
Ru 0.624 0.129 0.624
Ru 0.624 0.624 0.129
Ru 0.624 0.624 0.624

The following is a DFT calculation (PBE) of crystalline LaAs3Ru at its relaxed geometry.

Electronic total energy = -29.3 eV per cell
SG = Pm-3m (221)
Excess energy over the best structure of this formula in the dataset = 0.0 meV per atom
Energy of formation from the pure elements = -0.231 eV/atom

Cell lengths 4.862, 4.862, 4.862 Å; angles 90.00, 90.00, 90.00 degrees
Fractional positions:
La 0.000 0.000 0.000
As 0.000 0.500 0.500
As 0.500 0.000 0.500
As 0.500 0.500 0.000
Ru 0.500 0.500 0.500

The following is a DFT calculation (PBE) of crystalline La3AsRu at its relaxed geometry.

Electronic total energy = -64.0 eV per cell
SG = P-1 (2)
Excess energy over the best structure of this formula in the dataset = 0.0 meV per atom
Energy of formation from the pure elements = -0.654 eV/atom

Cell lengths 5.501, 7.492, 8.199 Å; angles 65.42, 76.44, 70.01 degrees
Fractional positions:
La 0.063 0.120 0.174
La 0.341 0.212 0.668
La 0.375 0.484 0.227
La 0.625 0.516 0.773
La 0.659 0.788 0.332
La 0.937 0.880 0.826
As 0.140 0.694 0.529
As 0.860 0.306 0.471
Ru 0.419 0.836 0.965
Ru 0.581 0.164 0.035

The following is a DFT calculation (PBE) of crystalline LaScAsRu2 at its relaxed geometry.

Electronic total energy = -32.8 eV per cell
SG = P4/mmm (123)
Energy of formation from the pure elements = 0.325 eV/atom

Cell lengths 4.688, 4.688, 5.115 Å; angles 90.00, 90.00, 90.00 degrees
Fractional positions:
La 0.000 0.000 0.000
Sc 0.500 0.500 0.500
As 0.500 0.500 0.000
Ru 0.000 0.500 0.500
Ru 0.500 0.000 0.500